Entry 1:
Nb2BP: optimized geometry, PBE.

Formation enthalpy at 0 K: 17.47 kJ/mol of atoms
E_tot: -7.876 eV/atom
Distance to the lowest polymorph of the same formula: 3.40 eV/f.u.

Geometry as POSCAR:
```
Nb2BP
1.0
-1.381 -3.582 -3.671
3.699 -3.330 1.858
-2.364 -5.511 2.424
Nb B P
4 2 2
Direct
0.176 0.625 0.250
0.875 0.824 0.750
0.574 0.125 0.250
0.375 0.426 0.750
0.250 0.750 0.500
0.500 0.500 0.000
0.000 0.000 0.000
0.750 0.250 0.500
```

***

Entry 2:
Rb6TeI2Cl2: optimized geometry, PBE.

Formation energy from raw total energies: -1470.7 meV per atom
E_tot: -2.902 eV/atom

Geometry as POSCAR:
```
Rb6TeI2Cl2
1.0
-1.521 3.232 8.073
7.391 -4.502 -1.740
1.856 7.742 -4.416
Rb Cl I Te
6 2 2 1
Direct
0.592 0.952 0.292
0.952 0.592 0.292
0.048 0.408 0.708
0.408 0.048 0.708
0.744 0.744 0.717
0.256 0.256 0.283
0.339 0.661 0.500
0.661 0.339 0.500
0.170 0.830 0.000
0.830 0.170 0.000
0.000 0.000 0.500
```

***

Entry 3:
TbPm2Pb9: optimized geometry, PBE.

Formation enthalpy at 0 K: -32.60 kJ/mol of atoms
E_tot: -4.297 eV/atom

Geometry as POSCAR:
```
TbPm2Pb9
1.0
4.907 0.000 0.000
0.000 4.907 0.000
0.000 0.000 14.711
Pb Pm Tb
9 2 1
Direct
0.000 0.500 0.836
0.000 0.500 0.164
0.500 0.000 0.164
0.000 0.500 0.500
0.500 0.000 0.836
0.500 0.000 0.500
0.500 0.500 0.332
0.500 0.500 0.668
0.500 0.500 0.000
0.000 0.000 0.333
0.000 0.000 0.667
0.000 0.000 0.000
```

***

Entry 4:
ZrNb2Fe2: optimized geometry, PBE.

Formation enthalpy at 0 K: 13.14 kJ/mol of atoms
E_tot: -8.986 eV/atom
Distance to the lowest polymorph of the same formula: 0.47 eV/f.u.

Geometry as POSCAR:
```
ZrNb2Fe2
1.0
7.480 0.000 0.000
0.000 7.480 0.000
0.000 0.000 2.861
Fe Nb Zr
4 4 2
Direct
0.856 0.356 0.500
0.644 0.856 0.500
0.356 0.144 0.500
0.144 0.644 0.500
0.351 0.851 0.000
0.851 0.649 0.000
0.149 0.351 0.000
0.649 0.149 0.000
0.000 0.000 0.000
0.500 0.500 0.000
```

***

Entry 5:
MnCo2GeMo: optimized geometry, PBE.

Formation enthalpy at 0 K: 105.98 kJ/mol of atoms
E_tot: -6.668 eV/atom
Distance to the lowest polymorph of the same formula: 0.00 eV/f.u.

Geometry as POSCAR:
```
MnCo2GeMo
1.0
4.130 0.000 0.000
0.000 4.388 0.000
0.000 0.000 4.130
Ge Co Mo Mn
1 2 1 1
Direct
0.000 0.500 0.000
0.500 0.000 0.000
0.000 0.000 0.500
0.500 0.500 0.500
0.000 0.000 0.000
```

***

Entry 6:
AcLa2Cd6: optimized geometry, PBE.

Formation enthalpy at 0 K: -26.47 kJ/mol of atoms
E_tot: -2.436 eV/atom

Geometry as POSCAR:
```
AcLa2Cd6
1.0
-0.886 -0.380 3.681
5.053 -7.229 2.437
8.169 0.890 4.025
Cd La Ac
6 2 1
Direct
0.330 0.346 0.994
0.500 0.670 0.330
0.500 0.330 0.670
0.670 0.006 0.654
0.670 0.654 0.006
0.330 0.994 0.346
0.853 0.647 0.647
0.147 0.353 0.353
0.000 0.000 0.000
```

***

Entry 7:
Ba2DyVN4: optimized geometry, PBE.

Formation energy from raw total energies: -604.5 meV per atom
E_tot: -6.963 eV/atom

Geometry as POSCAR:
```
Ba2DyVN4
1.0
5.681 0.000 0.000
2.841 5.977 0.000
2.841 0.000 10.763
N Ba Dy V
8 4 2 2
Direct
0.909 0.692 0.580
0.180 0.308 0.420
0.512 0.308 0.580
0.841 0.808 0.920
0.238 0.192 0.920
0.570 0.192 0.080
0.350 0.808 0.080
0.400 0.692 0.420
0.561 0.500 0.877
0.189 0.000 0.623
0.811 0.000 0.377
0.939 0.500 0.123
0.750 0.500 0.500
0.000 0.000 0.000
0.500 0.000 0.000
0.250 0.500 0.500
```

***

Entry 8:
Mg4As6Ir7: optimized geometry, PBE.

Formation enthalpy at 0 K: -42.93 kJ/mol of atoms
E_tot: -6.110 eV/atom

Geometry as POSCAR:
```
Mg4As6Ir7
1.0
7.091 0.000 0.000
-2.364 6.686 0.000
-2.364 -3.343 5.790
Ir As Mg
7 6 4
Direct
0.250 0.500 0.750
0.000 0.000 0.000
0.750 0.250 0.500
0.500 0.250 0.750
0.500 0.750 0.250
0.750 0.500 0.250
0.250 0.750 0.500
0.686 0.686 0.000
0.314 0.314 0.000
0.000 0.314 0.314
0.000 0.686 0.686
0.686 0.000 0.686
0.314 0.000 0.314
0.500 0.500 0.500
0.500 0.000 0.000
0.000 0.500 0.000
0.000 0.000 0.500
```

***

Entry 9:
AlPbW2: optimized geometry, PBE.

Formation enthalpy at 0 K: 83.82 kJ/mol of atoms
E_tot: -7.471 eV/atom
Distance to the lowest polymorph of the same formula: 1.94 eV/f.u.

Geometry as POSCAR:
```
AlPbW2
1.0
-1.060 -2.927 -3.153
-1.508 -2.456 2.787
-3.589 1.740 -0.409
Al W Pb
1 2 1
Direct
0.500 0.500 0.000
0.000 0.500 0.500
0.000 0.000 0.000
0.500 0.000 0.500
```

***

Entry 10:
La4MoN5: optimized geometry, PBE.

Formation energy from raw total energies: -1081.7 meV per atom
E_tot: -8.298 eV/atom

Geometry as POSCAR:
```
La4MoN5
1.0
5.365 0.000 0.000
2.682 5.588 0.000
2.682 0.000 5.588
N La Mo
5 4 1
Direct
0.094 0.654 0.170
0.263 0.830 0.654
0.917 0.346 0.830
0.747 0.170 0.346
0.410 0.000 0.000
0.196 0.196 0.416
0.613 0.584 0.196
0.809 0.804 0.584
0.392 0.416 0.804
0.069 0.000 0.000
```

***

Entry 11:
TmZnAgPb: optimized geometry, PBE.

Formation enthalpy at 0 K: -15.35 kJ/mol of atoms
E_tot: -3.235 eV/atom

Geometry as POSCAR:
```
TmZnAgPb
1.0
5.014 0.000 0.000
2.507 4.342 0.000
2.507 1.447 4.094
Tm Zn Ag Pb
1 1 1 1
Direct
0.500 0.500 0.500
0.750 0.750 0.750
0.250 0.250 0.250
0.000 0.000 0.000
```

***

Entry 12:
Dy2ErNpP4: optimized geometry, PBE.

Formation enthalpy at 0 K: -137.13 kJ/mol of atoms
E_tot: -7.465 eV/atom

Geometry as POSCAR:
```
Dy2ErNpP4
1.0
3.975 0.000 0.000
0.000 6.886 0.127
0.000 -2.400 6.462
Dy Np P Er
2 1 4 1
Direct
0.000 0.500 0.500
0.500 0.000 0.500
0.000 0.000 0.000
0.500 0.247 0.245
0.500 0.753 0.755
0.000 0.751 0.245
0.000 0.249 0.755
0.500 0.500 0.000
```

***

Entry 13:
Ho6MnS8: optimized geometry, PBE.

Formation energy from raw total energies: -1852.8 meV per atom
E_tot: -6.497 eV/atom

Geometry as POSCAR:
```
Ho6MnS8
1.0
6.685 0.000 3.860
2.228 6.303 3.860
0.000 0.000 7.719
S Ho Mn
8 6 1
Direct
0.243 0.757 0.243
0.757 0.243 0.243
0.243 0.757 0.757
0.757 0.243 0.757
0.250 0.250 0.250
0.243 0.243 0.757
0.750 0.750 0.750
0.757 0.757 0.243
0.000 0.000 0.500
0.500 0.000 0.500
0.000 0.500 0.000
0.000 0.500 0.500
0.500 0.000 0.000
0.500 0.500 0.000
0.000 0.000 0.000
```

***

Entry 14:
DyBiRh: optimized geometry, PBE.

Formation enthalpy at 0 K: -72.51 kJ/mol of atoms
E_tot: -6.030 eV/atom

Geometry as POSCAR:
```
DyBiRh
1.0
-4.164 0.084 6.434
7.461 -1.730 0.286
0.875 3.860 0.516
Rh Dy Bi
3 3 3
Direct
0.333 0.667 0.500
0.000 0.000 0.000
0.667 0.333 0.500
0.000 0.600 0.000
0.600 0.000 0.000
0.400 0.400 0.000
0.735 0.735 0.500
0.265 0.000 0.500
0.000 0.265 0.500
```

***

Entry 15:
Pm3Mg2In3: optimized geometry, PBE.

Formation enthalpy at 0 K: -32.09 kJ/mol of atoms
E_tot: -3.540 eV/atom
Distance to the lowest polymorph of the same formula: 0.33 eV/f.u.

Geometry as POSCAR:
```
Pm3Mg2In3
1.0
4.616 0.000 0.000
0.000 4.965 0.000
-2.308 -2.482 9.300
In Pm Mg
3 3 2
Direct
0.000 0.500 0.000
0.861 0.861 0.721
0.139 0.139 0.279
0.500 0.000 0.000
0.370 0.370 0.739
0.630 0.630 0.261
0.254 0.754 0.508
0.746 0.246 0.492
```

***

Entry 16:
NaPa2I8: optimized geometry, PBE.

Formation energy from raw total energies: -894.1 meV per atom
E_tot: -3.868 eV/atom
Distance to the lowest polymorph of the same formula: 0.00 eV/f.u.

Geometry as POSCAR:
```
NaPa2I8
1.0
-5.400 -6.938 -0.399
2.790 -6.041 -5.562
3.115 -6.861 4.295
I Na Pa
8 1 2
Direct
0.744 0.169 0.747
0.256 0.831 0.253
0.332 0.776 0.776
0.833 0.686 0.686
0.167 0.314 0.314
0.256 0.253 0.831
0.668 0.224 0.224
0.744 0.747 0.169
0.000 0.000 0.000
0.536 0.899 0.899
0.464 0.101 0.101
```

***

The records above yield calculated density values of 5.1, 2.8, 10.8, 8.1, 7.6, 7.5, 4.9, 11.4, 14.0, 7.2, 10.2, 8.0, 6.6, 11.6, 6.5, 4.5 g/cm3, respectively.